Here is an optimized crystal structure of Zr4Ag5 from Alexandria. Energies are from PBE.

The structure in extended XYZ format:
```
18
Lattice="8.4175 0.0000 0.0000 4.2087 7.2897 0.0000 0.0000 0.0000 5.9250" Properties=species:S:1:pos:R:3 pbc="T T T"
Ag 2.8849 0.0000 4.4437
Ag 1.4424 2.4984 1.4812
Ag 8.4175 4.8598 2.9625
Ag 5.5326 0.0000 1.4812
Ag 4.2087 2.4299 2.9625
Ag 2.7663 4.7914 4.4437
Ag 5.6512 4.7914 1.4812
Ag 4.2087 2.4299 0.0000
Ag 8.4175 4.8598 0.0000
Ag 6.9750 2.4984 4.4437
Zr 0.0000 0.0000 0.0000
Zr 7.0513 2.3662 1.4812
Zr 2.7323 0.0000 1.4812
Zr 5.6851 0.0000 4.4437
Zr 1.3662 2.3662 4.4437
Zr 0.0000 0.0000 2.9625
Zr 5.5749 4.9235 4.4437
Zr 2.8426 4.9235 1.4812
```

Summary:
Excess energy over the best structure of this formula in the dataset (meV/atom): 72
Total magnetic moment (μB/cell): 0.00
D(E_F) (states/eV/f.u.): 9.44